Record 1
DFT (PBE-GGA) results for a relaxed structure of Zr2CuPt.

POSCAR file:
```
Zr2CuPt
1.0
3.400 0.000 0.000
0.000 4.638 0.000
0.000 0.000 4.651
Zr Cu Pt
2 1 1
Direct
0.000 0.000 0.000
0.000 0.500 0.500
0.500 0.000 0.500
0.500 0.500 0.000
```

- SG: Pmmm (47)
- Calculated formation energy: -0.546 eV/atom


Record 2
DFT (PBE-GGA) results for a relaxed structure of CoW2Se.

POSCAR file:
```
CoW2Se
1.0
2.891 0.000 0.000
-1.445 2.504 0.000
0.000 0.000 24.835
Co W Se
3 6 3
Direct
0.000 0.000 0.000
0.333 0.667 0.667
0.667 0.333 0.333
0.000 0.000 0.251
0.000 0.000 0.749
0.333 0.667 0.415
0.333 0.667 0.918
0.667 0.333 0.082
0.667 0.333 0.585
0.000 0.000 0.500
0.333 0.667 0.167
0.667 0.333 0.833
```

- SG: R-3m (166)
- Uncorrected formation energy: 0.481 eV/atom


Record 3
DFT (PBE-GGA) results for a relaxed structure of Zr3BAs.

POSCAR file:
```
Zr3BAs
1.0
4.583 0.000 0.000
0.000 4.583 0.000
0.000 0.000 4.583
Zr B As
3 1 1
Direct
0.000 0.000 0.500
0.000 0.500 0.000
0.500 0.000 0.000
0.000 0.000 0.000
0.500 0.500 0.500
```

- SG: Pm-3m (221)
- Excess energy over the best structure of this formula in the dataset: 0.00 eV/f.u.
- Calculated formation energy: -0.338 eV/atom


Record 4
DFT (PBE-GGA) results for a relaxed structure of CdTeN2O.

POSCAR file:
```
CdTeN2O
1.0
4.170 0.000 0.000
0.000 4.170 0.000
0.000 0.000 4.255
Cd Te N O
1 1 2 1
Direct
0.000 0.000 0.000
0.500 0.500 0.000
0.000 0.500 0.500
0.500 0.000 0.500
0.500 0.500 0.500
```

- SG: P4/mmm (123)
- Uncorrected formation energy: 1.823 eV/atom


Record 5
DFT (PBE-GGA) results for a relaxed structure of Tb2YLu.

POSCAR file:
```
Tb2YLu
1.0
5.008 0.000 0.000
0.000 5.008 0.000
0.000 0.000 4.996
Tb Y Lu
2 1 1
Direct
0.000 0.500 0.000
0.500 0.000 0.000
0.000 0.000 0.500
0.500 0.500 0.500
```

- SG: P4/mmm (123)
- Calculated formation energy: 0.026 eV/atom


Record 6
DFT (PBE-GGA) results for a relaxed structure of Cr4Ni2C.

POSCAR file:
```
Cr4Ni2C
1.0
0.000 5.290 5.290
5.290 0.000 5.290
5.290 5.290 0.000
Cr Ni C
16 8 4
Direct
0.000 0.000 0.000
0.000 0.000 0.500
0.000 0.500 0.000
0.184 0.184 0.566
0.184 0.566 0.184
0.184 0.566 0.566
0.434 0.434 0.816
0.434 0.816 0.434
0.434 0.816 0.816
0.500 0.000 0.000
0.566 0.184 0.184
0.566 0.184 0.566
0.566 0.566 0.184
0.816 0.434 0.434
0.816 0.434 0.816
0.816 0.816 0.434
0.129 0.790 0.790
0.210 0.210 0.210
0.210 0.210 0.871
0.210 0.871 0.210
0.790 0.129 0.790
0.790 0.790 0.129
0.790 0.790 0.790
0.871 0.210 0.210
0.000 0.500 0.500
0.500 0.000 0.500
0.500 0.500 0.000
0.500 0.500 0.500
```

- SG: Fd-3m (227)
- Calculated formation energy: 0.014 eV/atom